No. 1
A plane-wave DFT calculation with PBE was carried out for crystalline AlCu6Pt at its relaxed geometry.

Cell and atoms, written as POSCAR:
```
AlCu6Pt
1.0
-6.792 -1.025 -1.372
-2.027 -5.628 -3.642
-3.173 -3.495 0.432
Al Cu Pt
1 6 1
Direct
0.000 0.000 0.000
0.251 0.972 0.230
0.972 0.547 0.230
0.453 0.749 0.770
0.028 0.453 0.770
0.749 0.028 0.770
0.547 0.251 0.230
0.500 0.500 0.500
```

Calculated volume = 105.00 Å³/f.u.
Energy = -4.36 eV per atom
Size of the total moment = 0.0 μB/f.u.

***

No. 2
A plane-wave DFT calculation with PBE was carried out for crystalline AlCuPt2 at its relaxed geometry.

Cell and atoms, written as POSCAR:
```
AlCuPt2
1.0
-0.335 -2.060 4.351
2.282 -4.247 0.211
1.275 4.399 -1.518
Cu Pt Al
1 2 1
Direct
0.750 0.250 0.500
0.000 0.000 0.000
0.250 0.750 0.500
0.500 0.500 0.000
```

Calculated volume = 57.70 Å³/f.u.
Energy = -5.54 eV per atom
Size of the total moment = 0.0 μB/f.u.

***

No. 3
A plane-wave DFT calculation with PBE was carried out for crystalline AlCu3Pt4 at its relaxed geometry.

Cell and atoms, written as POSCAR:
```
AlCu3Pt4
1.0
-1.243 -0.766 -3.734
-0.912 -3.754 1.074
-5.353 4.328 3.047
Pt Al Cu
4 1 3
Direct
0.377 0.377 0.754
0.623 0.623 0.246
0.123 0.123 0.246
0.877 0.877 0.754
0.500 0.000 0.000
0.000 0.500 0.000
0.751 0.250 0.502
0.249 0.750 0.498
```

Calculated volume = 112.06 Å³/f.u.
Energy = -5.48 eV per atom
Size of the total moment = 0.0 μB/f.u.

***

No. 4
A plane-wave DFT calculation with PBE was carried out for crystalline AlCuPt2 at its relaxed geometry.

Cell and atoms, written as POSCAR:
```
AlCuPt2
1.0
-2.824 -0.141 3.492
-0.309 -4.180 -1.617
2.159 -0.823 1.713
Pt Cu Al
2 1 1
Direct
0.000 0.000 0.000
0.500 0.500 0.000
0.000 0.500 0.500
0.500 0.000 0.500
```

Calculated volume = 56.80 Å³/f.u.
Energy = -5.66 eV per atom
Size of the total moment = 0.0 μB/f.u.

***

No. 5
A plane-wave DFT calculation with PBE was carried out for crystalline AlCu2Pt at its relaxed geometry.

Cell and atoms, written as POSCAR:
```
AlCu2Pt
1.0
4.521 0.002 0.000
-1.576 4.237 0.000
0.000 0.000 2.856
Cu Pt Al
2 1 1
Direct
0.000 0.000 0.000
0.500 0.500 0.000
0.500 0.000 0.500
0.000 0.500 0.500
```

Calculated volume = 54.71 Å³/f.u.
Energy = -4.83 eV per atom
Size of the total moment = 0.0 μB/f.u.

***

No. 6
A plane-wave DFT calculation with PBE was carried out for crystalline Al3CuPt at its relaxed geometry.

Cell and atoms, written as POSCAR:
```
Al3CuPt
1.0
-1.410 3.546 -1.786
-6.161 0.767 6.383
7.384 4.208 2.526
Al Cu Pt
12 4 4
Direct
0.750 0.606 0.703
0.250 0.394 0.297
0.250 0.894 0.797
0.750 0.106 0.203
0.750 0.634 0.363
0.250 0.366 0.637
0.250 0.866 0.137
0.750 0.134 0.863
0.250 0.380 0.954
0.750 0.620 0.046
0.750 0.120 0.546
0.250 0.880 0.454
0.250 0.634 0.543
0.750 0.366 0.457
0.750 0.866 0.957
0.250 0.134 0.043
0.750 0.872 0.626
0.250 0.128 0.374
0.250 0.628 0.874
0.750 0.372 0.126
```

Energy above the lowest structure with this stoichiometry = 0.00 eV/f.u.
Calculated volume = 78.47 Å³/f.u.
Energy = -4.82 eV per atom
Size of the total moment = 0.0 μB/f.u.

***

No. 7
A plane-wave DFT calculation with PBE was carried out for crystalline AlCu2Pt3 at its relaxed geometry.

Cell and atoms, written as POSCAR:
```
AlCu2Pt3
1.0
4.023 0.000 0.017
2.011 6.043 0.009
-0.030 0.000 6.946
Al Cu Pt
2 4 6
Direct
0.341 0.318 0.000
0.659 0.682 0.000
0.000 0.000 0.000
0.000 0.000 0.500
0.330 0.340 0.500
0.670 0.660 0.500
0.832 0.336 0.760
0.500 0.000 0.253
0.168 0.664 0.240
0.832 0.336 0.240
0.168 0.664 0.760
0.500 0.000 0.747
```

Calculated volume = 84.43 Å³/f.u.
Energy = -5.56 eV per atom
Size of the total moment = 0.0 μB/f.u.

***

No. 8
A plane-wave DFT calculation with PBE was carried out for crystalline AlCuPt2 at its relaxed geometry.

Cell and atoms, written as POSCAR:
```
AlCuPt2
1.0
-4.103 -1.509 -1.070
0.559 -1.097 -4.329
2.541 -1.333 3.468
Cu Pt Al
1 2 1
Direct
0.250 0.750 0.500
0.000 0.000 0.000
0.500 0.500 0.000
0.750 0.250 0.500
```

Calculated volume = 56.62 Å³/f.u.
Energy = -5.70 eV per atom
Size of the total moment = 0.0 μB/f.u.

***

No. 9
A plane-wave DFT calculation with PBE was carried out for crystalline AlCu2Pt at its relaxed geometry.

Cell and atoms, written as POSCAR:
```
AlCu2Pt
1.0
-3.825 0.433 -0.827
-0.171 -4.968 -1.810
-1.223 -1.775 4.729
Al Cu Pt
2 4 2
Direct
0.250 0.367 0.162
0.750 0.633 0.838
0.250 0.883 0.609
0.750 0.117 0.391
0.250 0.889 0.106
0.750 0.111 0.894
0.250 0.380 0.674
0.750 0.620 0.326
```

Calculated volume = 54.11 Å³/f.u.
Energy = -4.96 eV per atom
Size of the total moment = 0.0 μB/f.u.

***

No. 10
A plane-wave DFT calculation with PBE was carried out for crystalline AlCu2Pt2 at its relaxed geometry.

Cell and atoms, written as POSCAR:
```
AlCu2Pt2
1.0
-2.442 2.242 1.778
-2.063 -2.999 0.949
0.757 -0.923 6.186
Cu Pt Al
2 2 1
Direct
0.401 0.401 0.198
0.599 0.599 0.802
0.750 0.250 0.500
0.250 0.750 0.500
0.000 0.000 0.000
```

Energy above the lowest structure with this stoichiometry = 2.21 eV/f.u.
Calculated volume = 80.84 Å³/f.u.
Energy = -4.69 eV per atom
Size of the total moment = 0.0 μB/f.u.

***

No. 11
A plane-wave DFT calculation with PBE was carried out for crystalline AlCu2Pt at its relaxed geometry.

Cell and atoms, written as POSCAR:
```
AlCu2Pt
1.0
-0.795 -1.095 -4.602
-0.879 -3.492 -3.168
-4.354 -0.076 -0.385
Cu Pt Al
2 1 1
Direct
0.994 0.994 0.006
0.506 0.506 0.494
0.750 0.750 0.750
0.250 0.250 0.250
```

Calculated volume = 54.05 Å³/f.u.
Energy = -4.92 eV per atom
Size of the total moment = 0.0 μB/f.u.

***

No. 12
A plane-wave DFT calculation with PBE was carried out for crystalline AlCuPt2 at its relaxed geometry.

Cell and atoms, written as POSCAR:
```
AlCuPt2
1.0
8.465 0.034 0.020
7.973 2.846 0.020
7.973 1.397 2.480
Cu Pt Al
1 2 1
Direct
0.750 0.750 0.750
0.997 0.997 0.997
0.503 0.503 0.503
0.250 0.250 0.250
```

Calculated volume = 58.62 Å³/f.u.
Energy = -5.46 eV per atom
Size of the total moment = 0.0 μB/f.u.

***

no.,D(E_F) (states/eV/cell),theoretical density (g/cm³),formation enthalpy at 0 K (eV per atom)
1,3.80,9.5,-0.068
2,1.94,13.8,-0.556
3,3.19,14.8,-0.457
4,1.10,14.1,-0.676
5,1.50,10.6,-0.333
6,5.77,7.2,-0.549
7,4.01,14.5,-0.547
8,1.26,14.1,-0.719
9,2.40,10.7,-0.467
10,2.32,11.2,0.112
11,1.34,10.7,-0.424
12,2.60,13.6,-0.477